No. 1
The following is a PBE-GGA calculation of an optimized crystal structure of BaZr2Rh, from the Alexandria database.

Output
For the total magnetization, the calculation gives 0.000 μB per atom. The calculated total energy comes out at -6.087 eV/atom. The calculation puts the formation energy at 2.0 eV per formula unit. Its density of states at the Fermi level is 4.20 states/eV per cell. The energy above the most stable polymorph in this dataset comes out at 601.0 meV per atom.

Lattice parameters (Å, degrees): 5.854 5.854 3.181 90.00 90.00 120.39
Positions (direct):
Ba  0.000  0.000  0.000
Zr  0.000  0.500  0.500
Zr  0.500  0.000  0.500
Rh  0.500  0.500  0.000



No. 2
The following is a PBE-GGA calculation of an optimized crystal structure of Sr2YCO, from the Alexandria database.

Output
For the total magnetization, the calculation gives 0.000 μB per atom. The calculated total energy comes out at -4.842 eV/atom. The calculation puts the formation energy from raw total energies at -0.040 eV per atom. Its density of states at the Fermi level is 2.43 states/eV per cell.

Lattice parameters (Å, degrees): 5.289 5.289 4.731 90.00 90.00 90.00
Positions (direct):
Sr  0.000  0.500  0.000
Sr  0.500  0.000  0.000
Y  0.000  0.000  0.500
C  0.000  0.000  0.000
O  0.500  0.500  0.500



No. 3
The following is a PBE-GGA calculation of an optimized crystal structure of DyScCdNi, from the Alexandria database.

Output
For the total magnetization, the calculation gives 0.000 μB per atom. The calculated total energy comes out at -4.786 eV/atom. The calculation puts the formation energy at -1.5 eV per formula unit. Its density of states at the Fermi level is 2.84 states/eV per cell. The energy above the most stable polymorph in this dataset comes out at 0.0 meV per atom.

Lattice parameters (Å, degrees): 3.344 3.344 7.424 90.00 90.00 90.00
Positions (direct):
Dy  0.000  0.000  0.000
Sc  0.000  0.000  0.577
Cd  0.500  0.500  0.309
Ni  0.500  0.500  0.760



No. 4
The following is a PBE-GGA calculation of an optimized crystal structure of MnCr4Cl, from the Alexandria database.

Output
For the total magnetization, the calculation gives 0.372 μB per atom. The calculated total energy comes out at -7.433 eV/atom. The calculation puts the formation energy from raw total energies at 0.819 eV per atom. Its density of states at the Fermi level is 6.17 states/eV per cell.

Lattice parameters (Å, degrees): 4.822 4.822 4.822 60.00 60.00 60.00
Positions (direct):
Mn  0.000  0.000  0.000
Cr  0.375  0.375  0.375
Cr  0.375  0.375  0.875
Cr  0.375  0.875  0.375
Cr  0.875  0.375  0.375
Cl  0.750  0.750  0.750